# 1
Below is a geometry-optimized Al2AsOs structure, with properties calculated at the PBE level.

Computed properties:
For the total energy, the calculation gives -5.6857 eV per atom. The magnetic moment comes out at 0.0000 μB per atom.

Cell: 6.233 6.233 6.233 Å, 90.00 90.00 90.00°
Space group F-43m (No. 216)
Asymmetric unit:
Al (0.000, 0.000, 0.000) (multiplicity 4)
Al (0.250, 0.250, 0.250) (multiplicity 4)
As (0.000, 0.000, 0.500) (multiplicity 4)
Os (0.250, 0.250, 0.750) (multiplicity 4)


# 2
Below is a geometry-optimized Al2AsOs structure, with properties calculated at the PBE level.

Computed properties:
For the total energy, the calculation gives -6.0247 eV per atom. The magnetic moment comes out at 0.0000 μB per atom.

Cell: 3.165 4.212 4.943 Å, 90.00 108.46 90.00°
Space group Pm (No. 6)
Asymmetric unit:
Al (0.000, 0.000, 0.000) (multiplicity 1)
Al (0.308, 0.500, 0.622) (multiplicity 1)
As (0.577, 0.500, 0.155) (multiplicity 1)
Os (0.726, 0.000, 0.455) (multiplicity 1)


# 3
Below is a geometry-optimized AlAs2OsS structure, with properties calculated at the PBE level.

Computed properties:
The energy relative to the elements, uncorrected comes out at 519 kJ/mol of formula units. The magnetic moment comes out at 0.0000 μB per atom.

Cell: 4.902 4.902 4.304 Å, 90.00 90.00 90.00°
Space group P4/mmm (No. 123)
Asymmetric unit:
Al (0.000, 0.000, 0.000) (multiplicity 1)
As (0.000, 0.500, 0.500) (multiplicity 2)
Os (0.500, 0.500, 0.000) (multiplicity 1)
S (0.500, 0.500, 0.500) (multiplicity 1)